{
  "formula": "Th3In2Fe",
  "functional": "PBE",
  "state": "optimized geometry",
  "lattice": [[-4.1515, -1.8648, 2.1737], [-3.3975, -0.2436, -6.6978], [0.8874, -8.9416, -0.1251]],
  "species": ["Th", "Th", "Th", "Th", "Th", "Th", "In", "In", "In", "In", "Fe", "Fe"],
  "fractional_positions": [[0.5000, 0.2500, 0.0000], [0.5000, 0.7500, 0.0000], [0.1209, 0.0000, 0.7581], [0.8791, 0.5000, 0.2418], [0.1209, 0.5000, 0.7582], [0.8791, 0.0000, 0.2419], [0.7006, 0.7500, 0.5983], [0.7010, 0.2500, 0.5984], [0.2990, 0.7500, 0.4016], [0.2994, 0.2500, 0.4017], [0.9997, 0.7500, 0.0000], [0.0003, 0.2500, 0.0000]],
  "ef_kcal_per_mol_atoms": -4.602,
  "e_tot_ev_per_atom": -6.233
}

---

{
  "formula": "Th6InFe2",
  "functional": "PBE",
  "state": "optimized geometry",
  "lattice": [[-8.4613, 0.6544, -1.2277], [3.6089, -6.7088, -3.9366], [1.6982, -1.2734, 8.3081]],
  "species": ["Th", "Th", "Th", "Th", "Th", "Th", "Th", "Th", "Th", "Th", "Th", "Th", "In", "In", "Fe", "Fe", "Fe", "Fe"],
  "fractional_positions": [[0.5203, 0.7001, 0.8201], [0.4797, 0.2999, 0.1799], [0.1200, 0.2999, 0.8201], [0.8800, 0.7001, 0.1799], [0.7925, 0.7638, 0.5563], [0.2075, 0.2362, 0.4437], [0.2075, 0.7638, 0.9713], [0.7925, 0.2362, 0.0287], [0.6890, 0.3594, 0.6704], [0.3110, 0.6406, 0.3296], [0.3110, 0.9814, 0.6704], [0.6890, 0.0186, 0.3296], [0.0000, 0.5000, 0.5000], [0.0000, 0.0000, 0.0000], [0.5000, 0.3686, 0.8686], [0.5000, 0.6314, 0.1314], [0.6539, 0.0000, 0.6539], [0.3461, 0.0000, 0.3461]],
  "ef_kcal_per_mol_atoms": -1.449,
  "e_tot_ev_per_atom": -7.194
}

---

{
  "formula": "Th3InFe3",
  "functional": "PBE",
  "state": "optimized geometry",
  "lattice": [[-2.0943, -0.2193, 3.0956], [-6.2556, -6.2239, -4.6731], [7.8214, -3.6313, 5.0344]],
  "species": ["Th", "Th", "Th", "Th", "Th", "Th", "In", "In", "Fe", "Fe", "Fe", "Fe", "Fe", "Fe"],
  "fractional_positions": [[0.7500, 0.3701, 0.3295], [0.7500, 0.9594, 0.6299], [0.7500, 0.6705, 0.0406], [0.2500, 0.6299, 0.6705], [0.2500, 0.0406, 0.3701], [0.2500, 0.3295, 0.9594], [0.7500, 0.3333, 0.6667], [0.2500, 0.6667, 0.3333], [0.7500, 0.0188, 0.1567], [0.7500, 0.1379, 0.9812], [0.7500, 0.8433, 0.8621], [0.2500, 0.9812, 0.8433], [0.2500, 0.8621, 0.0188], [0.2500, 0.1567, 0.1379]],
  "ef_kcal_per_mol_atoms": -2.069,
  "e_tot_ev_per_atom": -7.288
}